<a>
# NaAlGa

An optimized crystal structure of NaAlGa (PBE, Alexandria).

Cell: 5.7362 5.7362 5.7362 Å, 132.91 106.48 92.03°
Positions (direct):
Na  0.2482  0.0000  0.2482
Na  0.7518  0.0000  0.7518
Al  0.3318  0.3318  0.0000
Al  0.6682  0.6682  0.0000
Ga  0.1658  0.6658  0.5000
Ga  0.8342  0.3342  0.5000

Properties
DOS at the Fermi energy in states/eV per atom: 0.431
Total magnetic moment in μB/atom: 0.00
Crystal system: orthorhombic
Space-group type: Immm

---

<b>
# NaAlGa

An optimized crystal structure of NaAlGa (PBE, Alexandria).

Cell: 7.3573 7.3573 7.3573 Å, 157.05 157.05 32.68°
Positions (direct):
Na  0.0000  0.0000  0.0000
Al  0.3196  0.3196  0.0000
Ga  0.6747  0.6747  0.0000

Properties
DOS at the Fermi energy in states/eV per atom: 0.119
Total magnetic moment in μB/atom: 0.00
Crystal system: tetragonal
Space-group type: I4mm

---

Which of them is the most stable, and which is the least stable? <b> and <a>, in that order.

---

<a>
# NaAlGa

An optimized crystal structure of NaAlGa (PBE, Alexandria).

Cell: 7.1827 4.3479 12.1673 Å, 90.00 91.67 90.00°
Positions (direct):
Na  0.0054  0.2500  0.3797
Na  0.1364  0.2500  0.0709
Na  0.4898  0.2500  0.2980
Na  0.5102  0.7500  0.7020
Na  0.8636  0.7500  0.9291
Na  0.9946  0.7500  0.6203
Al  0.1768  0.2500  0.7888
Al  0.3381  0.7500  0.4575
Al  0.4716  0.7500  0.0926
Al  0.5284  0.2500  0.9074
Al  0.6619  0.2500  0.5425
Al  0.8232  0.7500  0.2112
Ga  0.2039  0.7500  0.2448
Ga  0.2908  0.7500  0.9012
Ga  0.2930  0.2500  0.5780
Ga  0.7070  0.7500  0.4220
Ga  0.7092  0.2500  0.0988
Ga  0.7961  0.2500  0.7552

Properties
DOS at the Fermi energy in states/eV per atom: 0.321
Total magnetic moment in μB/atom: 0.00
Crystal system: monoclinic
Space-group type: P2_1/m

---

<b>
# NaAlGa

An optimized crystal structure of NaAlGa (PBE, Alexandria).

Cell: 4.5942 4.5942 4.5942 Å, 60.00 60.00 60.00°
Positions (direct):
Na  0.0000  0.0000  0.0000
Al  0.5000  0.5000  0.5000
Ga  0.7500  0.7500  0.7500

Properties
DOS at the Fermi energy in states/eV per atom: 0.663
Total magnetic moment in μB/atom: 0.00
Crystal system: cubic
Space-group type: F-43m

---

Which of them is the most stable, and which is the least stable? <a> and <b>, in that order.

---

<a>
# NaAlGa

An optimized crystal structure of NaAlGa (PBE, Alexandria).

Cell: 5.6364 5.6364 7.4636 Å, 126.74 126.74 45.69°
Positions (direct):
Na  0.0746  0.0746  0.3289
Na  0.9254  0.9254  0.6711
Al  0.3326  0.3326  0.9178
Al  0.6674  0.6674  0.0822
Ga  0.3507  0.3507  0.2928
Ga  0.6493  0.6493  0.7072

Properties
DOS at the Fermi energy in states/eV per atom: 0.391
Total magnetic moment in μB/atom: 0.00
Crystal system: monoclinic
Space-group type: C2/m

---

<b>
# NaAlGa

An optimized crystal structure of NaAlGa (PBE, Alexandria).

Cell: 4.5484 4.5484 3.5489 Å, 90.00 90.00 120.00°
Positions (direct):
Na  0.0000  0.0000  0.0000
Al  0.3333  0.6667  0.5000
Ga  0.6667  0.3333  0.5000

Properties
DOS at the Fermi energy in states/eV per atom: 0.311
Total magnetic moment in μB/atom: 0.00
Crystal system: hexagonal
Space-group type: P-6m2

---

Which of them is the most stable, and which is the least stable? <a> and <b>, in that order.

---

<a>
# NaAlGa6

An optimized crystal structure of NaAlGa6 (PBE, Alexandria).

Cell: 9.1076 9.1076 9.1076 Å, 29.64 29.64 29.64°
Positions (direct):
Na  0.0000  0.0000  0.0000
Al  0.5000  0.5000  0.5000
Ga  0.1328  0.1328  0.1328
Ga  0.2469  0.2469  0.2469
Ga  0.3994  0.3994  0.3994
Ga  0.6006  0.6006  0.6006
Ga  0.7531  0.7531  0.7531
Ga  0.8672  0.8672  0.8672

Properties
DOS at the Fermi energy in states/eV per atom: 0.212
Total magnetic moment in μB/atom: 0.00
Crystal system: trigonal
Space-group type: R-3m

---

<b>
# NaAlGa6

An optimized crystal structure of NaAlGa6 (PBE, Alexandria).

Cell: 5.3783 5.3783 5.3783 Å, 90.00 90.00 90.00°
Positions (direct):
Na  0.0000  0.0000  0.0000
Al  0.5000  0.5000  0.5000
Ga  0.0000  0.2509  0.5000
Ga  0.0000  0.7491  0.5000
Ga  0.2509  0.5000  0.0000
Ga  0.5000  0.0000  0.2509
Ga  0.5000  0.0000  0.7491
Ga  0.7491  0.5000  0.0000

Properties
DOS at the Fermi energy in states/eV per atom: 0.472
Total magnetic moment in μB/atom: 0.00
Crystal system: cubic
Space-group type: Pm-3

---

Which of them is the most stable, and which is the least stable? <a> and <b>, in that order.

---

<a>
# Nb2AlGa4

An optimized crystal structure of Nb2AlGa4 (PBE, Alexandria).

Cell: 3.7316 3.7316 8.9749 Å, 90.00 90.00 90.00°
Positions (direct):
Nb  0.0000  0.5000  0.2406
Nb  0.5000  0.0000  0.7594
Al  0.0000  0.0000  0.5000
Ga  0.0000  0.0000  0.0000
Ga  0.0000  0.5000  0.7107
Ga  0.5000  0.0000  0.2893
Ga  0.5000  0.5000  0.0000

Properties
DOS at the Fermi energy in states/eV per atom: 0.704
Total magnetic moment in μB/atom: 0.00
Crystal system: tetragonal
Space-group type: P-4m2

---

<b>
# Nb2AlGa4

An optimized crystal structure of Nb2AlGa4 (PBE, Alexandria).

Cell: 7.4066 7.4066 7.4066 Å, 141.85 141.85 55.06°
Positions (direct):
Nb  0.0972  0.0972  0.0000
Nb  0.9028  0.9028  0.0000
Al  0.5000  0.5000  0.0000
Ga  0.0000  0.5000  0.5000
Ga  0.3066  0.3066  0.0000
Ga  0.5000  0.0000  0.5000
Ga  0.6934  0.6934  0.0000

Properties
DOS at the Fermi energy in states/eV per atom: 0.552
Total magnetic moment in μB/atom: 0.00
Crystal system: tetragonal
Space-group type: I4/mmm

---

Which of them is the most stable, and which is the least stable? <a> and <b>, in that order.

---

<a>
# Nb3AlGa

An optimized crystal structure of Nb3AlGa (PBE, Alexandria).

Cell: 7.5114 7.5114 9.8245 Å, 99.29 99.29 39.67°
Positions (direct):
Nb  0.0718  0.1206  0.7663
Nb  0.1206  0.0718  0.2663
Nb  0.1958  0.6960  0.9884
Nb  0.2601  0.3396  0.7367
Nb  0.3040  0.8042  0.5116
Nb  0.3396  0.2601  0.2367
Nb  0.6604  0.7399  0.7633
Nb  0.6960  0.1958  0.4884
Nb  0.7399  0.6604  0.2633
Nb  0.8042  0.3040  0.0116
Nb  0.8794  0.9282  0.7337
Nb  0.9282  0.8794  0.2337
Al  0.0948  0.5986  0.4820
Al  0.4014  0.9052  0.0180
Al  0.5986  0.0948  0.9820
Al  0.9052  0.4014  0.5180
Ga  0.0000  0.5000  0.0000
Ga  0.4782  0.5218  0.7500
Ga  0.5000  0.0000  0.5000
Ga  0.5218  0.4782  0.2500

Properties
DOS at the Fermi energy in states/eV per atom: 0.737
Total magnetic moment in μB/atom: 0.00
Crystal system: monoclinic
Space-group type: C2/c

---

<b>
# Nb3AlGa

An optimized crystal structure of Nb3AlGa (PBE, Alexandria).

Cell: 4.7370 4.7370 4.7370 Å, 90.00 90.00 90.00°
Positions (direct):
Nb  0.0000  0.0000  0.5000
Nb  0.0000  0.5000  0.0000
Nb  0.5000  0.0000  0.0000
Al  0.5000  0.5000  0.5000
Ga  0.0000  0.0000  0.0000

Properties
DOS at the Fermi energy in states/eV per atom: 1.678
Total magnetic moment in μB/atom: 0.00
Crystal system: cubic
Space-group type: Pm-3m

---

Which of them is the most stable, and which is the least stable? <a> and <b>, in that order.